# Na3ScTe (PBE, optimized geometry)
# calculated density	1.96	g/cm³
# excess energy over the best structure of this formula in the dataset	0	meV/atom
# magnetic moment	1.94	Bohr magnetons per cell
# raw formation energy	0.139	eV per atom
data_Na3ScTe
_chemical_formula_sum 'Na3 Sc1 Te1'
_symmetry_space_group_name_H-M 'P m -3 m'
_symmetry_Int_Tables_number 221
_symmetry_space_group_name_Hall '-P 4 2 3'
_cell_length_a 5.8900
_cell_length_b 5.8900
_cell_length_c 5.8900
_cell_angle_alpha 90.00
_cell_angle_beta 90.00
_cell_angle_gamma 90.00
loop_
_atom_site_label
_atom_site_type_symbol
_atom_site_fract_x
_atom_site_fract_y
_atom_site_fract_z
Na1 Na 0.0000 0.0000 0.5000
Sc1 Sc 0.5000 0.5000 0.5000
Te1 Te 0.0000 0.0000 0.0000

---

# TlTcW2 (PBE, optimized geometry)
# calculated density	15.96	g/cm³
# excess energy over the best structure of this formula in the dataset	120	meV/atom
# ΔH_f (0 K)	669	meV per atom
# magnetic moment	0.00	Bohr magnetons per cell
data_TlTcW2
_chemical_formula_sum 'Tl2 Tc2 W4'
_symmetry_space_group_name_H-M 'C 1 m 1'
_symmetry_Int_Tables_number 8
_symmetry_space_group_name_Hall 'C -2y'
_cell_length_a 9.5211
_cell_length_b 3.0630
_cell_length_c 4.9323
_cell_angle_alpha 90.00
_cell_angle_beta 104.28
_cell_angle_gamma 90.00
loop_
_atom_site_label
_atom_site_type_symbol
_atom_site_fract_x
_atom_site_fract_y
_atom_site_fract_z
Tl1 Tl 0.0000 0.0000 0.0000
Tc1 Tc 0.2645 0.5000 0.2803
W1 W 0.2303 0.0000 0.7087
W2 W 0.4948 0.0000 0.4947

---

# Li2Sn5 (PBE, optimized geometry)
# calculated density	6.01	g/cm³
# ΔH_f (0 K)	-188	meV per atom
# magnetic moment	0.00	Bohr magnetons per cell
data_Li2Sn5
_chemical_formula_sum 'Li4 Sn10'
_symmetry_space_group_name_H-M 'P 4/m b m'
_symmetry_Int_Tables_number 127
_symmetry_space_group_name_Hall '-P 4 2ab'
_cell_length_a 10.4178
_cell_length_b 10.4178
_cell_length_c 3.0927
_cell_angle_alpha 90.00
_cell_angle_beta 90.00
_cell_angle_gamma 90.00
loop_
_atom_site_label
_atom_site_type_symbol
_atom_site_fract_x
_atom_site_fract_y
_atom_site_fract_z
Li1 Li 0.1761 0.3239 0.0000
Sn1 Sn 0.0000 0.5000 0.5000
Sn2 Sn 0.0691 0.7954 0.5000

---

# HfPaCN (PBE, optimized geometry)
# calculated density	11.44	g/cm³
# magnetic moment	0.00	Bohr magnetons per cell
# raw formation energy	-0.594	eV per atom
data_HfPaCN
_chemical_formula_sum 'Hf2 Pa2 C2 N2'
_symmetry_space_group_name_H-M 'P 4/n m m'
_symmetry_Int_Tables_number 129
_cell_length_a 3.9332
_cell_length_b 3.9332
_cell_length_c 8.1704
_cell_angle_alpha 90.00
_cell_angle_beta 90.00
_cell_angle_gamma 90.00
loop_
_symmetry_equiv_pos_as_xyz
'x,y,z'
'-x,-y,-z'
'-y+1/2,x,z'
'y+1/2,-x,-z'
'-x+1/2,-y+1/2,z'
'x+1/2,y+1/2,-z'
'y,-x+1/2,z'
'-y,x+1/2,-z'
'x+1/2,-y,-z'
'-x+1/2,y,z'
'-y,-x,-z'
'y,x,z'
'-x,y+1/2,-z'
'x,-y+1/2,z'
'y+1/2,x+1/2,-z'
'-y+1/2,-x+1/2,z'
loop_
_atom_site_label
_atom_site_type_symbol
_atom_site_fract_x
_atom_site_fract_y
_atom_site_fract_z
Hf1 Hf 0.2500 0.7500 0.0000
Pa1 Pa 0.2500 0.2500 0.3584
C1 C 0.2500 0.2500 0.8454
N1 N 0.2500 0.7500 0.5000

---

# LaPm2Y (PBE, optimized geometry)
# calculated density	6.22	g/cm³
# excess energy over the best structure of this formula in the dataset	0	meV/atom
# ΔH_f (0 K)	8	meV per atom
# magnetic moment	0.00	Bohr magnetons per cell
data_LaPm2Y
_chemical_formula_sum 'La3 Pm6 Y3'
_symmetry_space_group_name_H-M 'R 3 m'
_symmetry_Int_Tables_number 160
_symmetry_space_group_name_Hall 'R 3 -2"'
_cell_length_a 3.6738
_cell_length_b 3.6738
_cell_length_c 35.5065
_cell_angle_alpha 90.00
_cell_angle_beta 90.00
_cell_angle_gamma 120.00
loop_
_atom_site_label
_atom_site_type_symbol
_atom_site_fract_x
_atom_site_fract_y
_atom_site_fract_z
La1 La 0.0000 0.0000 0.0000
Pm1 Pm 0.0000 0.0000 0.4189
Pm2 Pm 0.0000 0.0000 0.5820
Y1 Y 0.0000 0.0000 0.1665

---

# NbZnCdNi (PBE, optimized geometry)
# calculated density	8.73	g/cm³
# ΔH_f (0 K)	39	meV per atom
# magnetic moment	0.00	Bohr magnetons per cell
data_NbZnCdNi
_chemical_formula_sum 'Nb4 Zn4 Cd4 Ni4'
_symmetry_space_group_name_H-M 'F -4 3 m'
_symmetry_Int_Tables_number 216
_symmetry_space_group_name_Hall 'F -4 2 3'
_cell_length_a 6.3047
_cell_length_b 6.3047
_cell_length_c 6.3047
_cell_angle_alpha 90.00
_cell_angle_beta 90.00
_cell_angle_gamma 90.00
loop_
_atom_site_label
_atom_site_type_symbol
_atom_site_fract_x
_atom_site_fract_y
_atom_site_fract_z
Nb1 Nb 0.0000 0.0000 0.0000
Zn1 Zn 0.2500 0.2500 0.7500
Cd1 Cd 0.0000 0.0000 0.5000
Ni1 Ni 0.2500 0.2500 0.2500